Record 1
First-principles (PBE-GGA) data for an optimized crystal structure of DyTmCu4, as listed in Alexandria.

Lattice parameters (Å, degrees): 5.2343 5.2343 5.2343 60.00 60.00 60.00
Last column: nearest neighbours and their distance in Å.
Fractional positions:
Tm1 0.2500 0.2500 0.2500  12 Cu 3.07, 4 Dy 3.21
Cu1 0.6247 0.6247 0.1258  6 Cu 2.61-2.62
Cu2 0.6247 0.1258 0.6247  6 Cu 2.61-2.62
Cu3 0.6247 0.6247 0.6247  6 Cu 2.61-2.62
Cu4 0.1258 0.6247 0.6247  6 Cu 2.61-2.62
Dy1 0.0000 0.0000 0.0000  12 Cu 3.07, 4 Tm 3.21

Summary:
- DFT total energy: -0.32603 Ry/atom
- Total magnetic moment: 0.00 μB per cell
- Calculated formation energy: -0.19 eV per atom
- Excess energy over the best structure of this formula in the dataset: 0.55 eV/f.u.


Record 2
First-principles (PBE-GGA) data for an optimized crystal structure of NaCoPb2C, as listed in Alexandria.

Lattice parameters (Å, degrees): 4.8895 4.6495 4.8895 90.00 90.00 90.00
Last column: nearest neighbours and their distance in Å.
Fractional positions:
Pb1 0.0000 0.0000 0.5000  2 C 2.44
Pb2 0.5000 0.0000 0.0000  2 C 2.44
Na1 0.0000 0.5000 0.0000  2 C 2.32
C1 0.0000 0.0000 0.0000  2 Na 2.32, 4 Pb 2.44
Co1 0.5000 0.5000 0.5000  8 Pb 3.37, 4 Na 3.46

Summary:
- DFT total energy: -0.27845 Ry/atom
- Total magnetic moment: 1.62 μB per cell
- Calculated formation energy: 1.22 eV per atom


Record 3
First-principles (PBE-GGA) data for an optimized crystal structure of Zr2SiGe2, as listed in Alexandria.

Lattice parameters (Å, degrees): 6.9106 6.9106 3.8857 90.00 90.00 90.00
Last column: nearest neighbours and their distance in Å.
Fractional positions:
Ge1 0.3663 0.8663 0.0000  1 Ge 2.61, 2 Si 2.69, 6 Zr 2.72-2.88
Ge2 0.8663 0.6337 0.0000  1 Ge 2.61, 2 Si 2.69, 6 Zr 2.72-2.88
Ge3 0.6337 0.1337 0.0000  1 Ge 2.61, 2 Si 2.69, 6 Zr 2.72-2.88
Ge4 0.1337 0.3663 0.0000  1 Ge 2.61, 2 Si 2.69, 6 Zr 2.72-2.88
Si1 0.0000 0.0000 0.0000  4 Ge 2.69
Si2 0.5000 0.5000 0.0000  4 Ge 2.69
Zr1 0.1719 0.6719 0.5000  6 Ge 2.72-2.88
Zr2 0.6719 0.8281 0.5000  6 Ge 2.72-2.88
Zr3 0.8281 0.3281 0.5000  6 Ge 2.72-2.88
Zr4 0.3281 0.1719 0.5000  6 Ge 2.72-2.88

Summary:
- DFT total energy: -0.49400 Ry/atom
- Total magnetic moment: 0.00 μB per cell
- Excess energy over the best structure of this formula in the dataset: 0.45 eV/f.u.